Entry 1:
A relaxed structure of Ho6BiPd. Source: the Alexandria database, functional PBE-GGA.

Calculated values
Energy relative to the elements ... -0.148 eV per atom
Space group ... P-1

Geometry as POSCAR:
```
Ho6BiPd
1.0
6.8799 0.0146 -0.0062
3.4375 5.9911 0.0069
3.4171 1.9943 6.4476
Ho Bi Pd
6 1 1
Cartesian
4.3295 4.0749 4.9253
8.0467 1.7458 4.9139
5.5385 1.8362 1.5258
5.6878 6.2543 1.5344
9.4050 3.9252 1.5230
8.1960 6.1639 4.9225
6.8673 4.0000 3.2242
0.0000 0.0000 0.0000
```

***

Entry 2:
A relaxed structure of Er3Zr. Source: the Alexandria database, functional PBE-GGA.

Calculated values
Energy relative to the elements ... 0.064 eV per atom
Energy above the lowest structure with this stoichiometry ... 0.009 eV/atom
Space group ... P2_1/m

Geometry as POSCAR:
```
Er3Zr
1.0
3.4074 0.0000 0.0000
0.0000 9.4556 -1.8077
0.0000 1.3028 6.7806
Er Zr
6 2
Cartesian
0.8518 8.3554 -0.6618
2.5555 2.4030 5.6347
0.8518 8.9898 2.6259
2.5555 1.7686 2.3471
2.5555 6.9522 4.7354
0.8518 3.8063 0.2375
0.8518 4.4202 3.4500
2.5555 6.3383 1.5230
```

***

Entry 3:
A relaxed structure of Ta3Tl2O8. Source: the Alexandria database, functional PBE-GGA.

Calculated values
Formation energy (no corrections) ... -29.59 eV/f.u.
Space group ... C2/m

Geometry as POSCAR:
```
Ta3Tl2O8
1.0
-4.2373 -0.5933 3.2070
0.1690 -6.1458 -0.9136
5.9802 2.6534 4.4009
Ta Tl O
3 2 8
Cartesian
-2.1186 -0.2966 1.6035
0.0449 -1.6345 -0.2430
0.1241 -4.5113 -0.6706
-0.2645 -3.6419 3.3061
2.1765 -0.4438 3.3882
4.8206 -0.3695 3.3772
-2.9086 -3.7162 3.3170
4.7485 -3.4910 3.2185
-2.8365 -0.5947 3.4758
-0.5707 -5.0519 1.1128
-0.6636 -1.6737 1.6150
2.5756 -2.4119 5.0793
2.4827 0.9663 5.5815
```

***

Entry 4:
A relaxed structure of Tl2CuCl8. Source: the Alexandria database, functional PBE-GGA.

Calculated values
Formation energy (no corrections) ... -6.26 eV/f.u.
Energy above the lowest structure with this stoichiometry ... 0.022 eV/atom
Space group ... C2/c

Geometry as POSCAR:
```
Tl2CuCl8
1.0
7.6967 0.0000 3.3969
3.1738 8.8768 3.2268
-0.2739 0.3235 11.0387
Tl Cu Cl
4 2 16
Cartesian
9.0259 7.6878 16.1360
3.6362 3.0876 7.2644
6.9604 6.1126 10.3980
1.5707 1.5125 1.5265
2.6020 6.7384 5.3078
7.9946 2.4618 12.3546
4.8110 6.5411 9.4407
4.0440 8.3175 6.1364
9.0822 8.2996 7.5394
2.0917 1.5608 6.2334
1.5144 0.9006 10.1231
7.4648 3.0393 4.4772
8.5049 7.6394 11.4290
1.9787 4.0229 9.0710
3.1318 6.1609 13.1853
6.8701 7.2593 15.1932
6.4107 4.0408 11.8477
4.1860 5.1594 5.8147
3.7265 1.9410 2.4693
8.6179 5.1773 8.5914
5.7856 2.6592 8.2217
6.5526 0.8827 11.5260
```

***

Entry 5:
A relaxed structure of LaTiMo2. Source: the Alexandria database, functional PBE-GGA.

Calculated values
Energy relative to the elements ... 0.421 eV per atom
Energy above the lowest structure with this stoichiometry ... 0.000 eV/atom
Space group ... Fm-3m

Geometry as POSCAR:
```
LaTiMo2
1.0
0.0000 3.3469 3.3469
3.3469 0.0000 3.3469
3.3469 3.3469 0.0000
Mo Ti La
2 1 1
Cartesian
1.6735 1.6735 1.6735
5.0204 5.0204 5.0204
0.0000 0.0000 0.0000
3.3469 3.3469 3.3469
```

***

Entry 6:
A relaxed structure of TbPm6Nd3Ho2. Source: the Alexandria database, functional PBE-GGA.

Calculated values
Energy relative to the elements ... 0.015 eV per atom
Space group ... C2/m

Geometry as POSCAR:
```
TbPm6Nd3Ho2
1.0
6.2939 -0.0011 0.0066
-3.1463 5.4510 0.0066
-1.0626 -1.8398 11.8259
Tb Pm Nd Ho
1 6 3 2
Cartesian
0.0000 0.0000 0.0000
3.1363 1.7950 8.9277
2.0957 3.6287 2.9178
-1.0514 1.8151 2.9113
-0.0127 3.6136 8.9277
-0.0108 -0.0187 8.9212
2.0976 -0.0036 2.9113
-2.1033 3.6218 5.9195
4.1883 -0.0118 5.9195
1.0425 1.8050 5.9195
0.0006 3.6335 0.0066
3.1469 1.8164 0.0066
```

***

Number 1: total energy -37.7 eV for the cell shown. Number 2: total energy -44.0 eV for the cell shown. Number 3: total energy -109.5 eV for the cell shown. Number 4: total energy -59.7 eV for the cell shown. Number 5: total energy -32.8 eV for the cell shown. Number 6: total energy -56.4 eV for the cell shown.